This record from OQMD describes a relaxed NbCoAsO crystal. The functional is GGA+U.

The calculation puts the energy relative to the lowest polymorph listed for this composition at 79 meV per atom. As for the calculated total energy: -6.9216 eV/atom. As for the symmetry: P4/nmm (129).

The structure in POSCAR format:
```
NbCoAsO
1.0
3.597 0.000 0.000
0.000 3.597 0.000
0.000 0.000 7.663
Nb Co As O
2 2 2 2
Direct
0.250 0.250 0.171 Nb
0.750 0.750 0.829 Nb
0.250 0.750 0.500 Co
0.750 0.250 0.500 Co
0.250 0.250 0.684 As
0.750 0.750 0.316 As
0.250 0.750 0.000 O
0.750 0.250 0.000 O
```